A.
## AlCoPb2 (PBE)

Data for a geometry-optimized AlCoPb2 structure.

Structure (POSCAR):
```
AlCoPb2
1.0
-2.368 2.368 8.691
2.368 -2.368 8.691
2.368 2.368 -8.691
Al Co Pb
2 2 4
direct
0.000 0.000 0.000 Al
0.750 0.250 0.500 Al
0.250 0.750 0.500 Co
0.500 0.500 0.000 Co
0.158 0.625 0.033 Pb
0.375 0.408 0.533 Pb
0.592 0.125 0.967 Pb
0.875 0.842 0.467 Pb
```

Calculated values
Space group: I-42d

=====

B.
## AlCoPb2 (PBE)

Data for a geometry-optimized AlCoPb2 structure.

Structure (POSCAR):
```
AlCoPb2
1.0
3.064 -1.762 0.000
3.064 1.762 0.000
-1.987 0.000 8.169
Al Co Pb
1 1 2
direct
0.000 0.000 0.000 Al
0.500 0.500 0.500 Co
0.238 0.238 0.716 Pb
0.762 0.762 0.284 Pb
```

Calculated values
Space group: C2/m

=====

C.
## AlCoPb2 (PBE)

Data for a geometry-optimized AlCoPb2 structure.

Structure (POSCAR):
```
AlCoPb2
1.0
4.163 0.000 0.000
0.000 4.091 0.000
-2.079 0.000 4.996
Al Co Pb
1 1 2
direct
0.000 0.000 0.000 Al
0.876 0.500 0.756 Co
0.292 0.000 0.583 Pb
0.585 0.500 0.172 Pb
```

Calculated values
Space group: Pm

=====

D.
## AlCoPb2 (PBE)

Data for a geometry-optimized AlCoPb2 structure.

Structure (POSCAR):
```
AlCoPb2
1.0
-2.318 2.318 4.011
2.318 -2.318 4.011
2.318 2.318 -4.011
Al Co Pb
1 1 2
direct
0.000 0.000 0.000 Al
0.500 0.500 0.000 Co
0.250 0.750 0.500 Pb
0.750 0.250 0.500 Pb
```

Calculated values
Space group: I4/mmm

=====

Relative to the most stable structure, the computed energies are A 398; B 212; C 0; D 302, all in meV/atom.

=====

A.
## AlCoPb2 (PBE)

Data for a geometry-optimized AlCoPb2 structure.

Structure (POSCAR):
```
AlCoPb2
1.0
0.000 3.554 3.554
3.554 0.000 3.554
3.554 3.554 0.000
Al Co Pb
1 1 2
direct
0.000 0.000 0.000 Al
0.250 0.250 0.250 Co
0.500 0.500 0.500 Pb
0.750 0.750 0.750 Pb
```

Calculated values
Space group: F-43m

=====

B.
## AlCoPb2 (PBE)

Data for a geometry-optimized AlCoPb2 structure.

Structure (POSCAR):
```
AlCoPb2
1.0
3.265 0.000 0.000
0.000 3.286 0.000
-0.040 0.000 8.082
Al Co Pb
1 1 2
direct
0.000 0.000 0.000 Al
0.000 0.000 0.500 Co
0.500 0.500 0.292 Pb
0.500 0.500 0.708 Pb
```

Calculated values
Space group: P2/m

=====

Relative to the most stable structure, the computed energies are A 222; B 0, all in meV/atom.

=====

A.
## AlCoPb (PBE)

Data for a geometry-optimized AlCoPb structure.

Structure (POSCAR):
```
AlCoPb
1.0
-1.528 1.528 6.122
1.528 -1.528 6.122
1.528 1.528 -6.122
Al Co Pb
1 1 1
direct
0.000 0.000 0.000 Al
0.589 0.589 0.000 Co
0.256 0.256 0.000 Pb
```

Calculated values
Space group: I4mm

=====

B.
## AlCoPb (PBE)

Data for a geometry-optimized AlCoPb structure.

Structure (POSCAR):
```
AlCoPb
1.0
0.000 3.029 3.029
3.029 0.000 3.029
3.029 3.029 0.000
Al Co Pb
1 1 1
direct
0.000 0.000 0.000 Al
0.250 0.250 0.250 Co
0.500 0.500 0.500 Pb
```

Calculated values
Space group: F-43m

=====

C.
## AlCoPb (PBE)

Data for a geometry-optimized AlCoPb structure.

Structure (POSCAR):
```
AlCoPb
1.0
3.219 0.000 0.000
-1.609 2.788 0.000
0.000 0.000 6.253
Al Co Pb
1 1 1
direct
0.000 0.000 0.000 Al
0.667 0.333 0.249 Co
0.333 0.667 0.576 Pb
```

Calculated values
Space group: P3m1

=====

Relative to the most stable structure, the computed energies are A 27; B 0; C 144, all in meV/atom.